Ba2UOsO8 after structural relaxation. Source: Alexandria via LeMat-Bulk, functional PBE.

Results
Uncorrected formation energy (eV/atom): -2.419
Calculated volume (Å³ per cell): 225
Density of states at the Fermi level (states/eV per cell): 0.947
Crystal system: triclinic
Raw total energy (eV per atom): -7.92
ρ (g/cm3): 6.1

Structure (CIF):
```
data_Ba2UOsO8
_symmetry_space_group_name_H-M 'P -1'
_symmetry_Int_Tables_number 2
_symmetry_space_group_name_Hall '-P 1'
_cell_length_a 6.152
_cell_length_b 6.341
_cell_length_c 6.526
_cell_angle_alpha 76.58
_cell_angle_beta 66.97
_cell_angle_gamma 77.27
loop_
_atom_site_label
_atom_site_fract_x
_atom_site_fract_y
_atom_site_fract_z
Ba1 0.111 0.185 0.174
U1 0.500 0.500 0.500
Os1 0.500 0.000 0.500
O1 0.260 0.481 0.802
O2 0.292 0.985 0.787
O3 0.295 0.833 0.428
O4 0.317 0.294 0.415
```